This record from Alexandria describes a relaxed CePb3 crystal. The functional is PBE.

Cell and atoms, written as POSCAR:
```
CePb3
1.0
3.595 0.000 0.000
0.000 11.391 0.000
0.000 0.000 5.877
Ce Pb
2 6
Direct
0.000 0.000 0.000 Ce
0.500 0.500 0.500 Ce
0.000 0.250 0.333 Pb
0.000 0.500 0.991 Pb
0.000 0.750 0.333 Pb
0.500 0.000 0.491 Pb
0.500 0.250 0.833 Pb
0.500 0.750 0.833 Pb
```

## Properties
Calculated formation energy in eV/atom: -0.2245
DOS(E_F) in states/eV/cell: 14.9
Theoretical density in g/cm3: 10.511
Total energy in eV/atom: -4.49